1.
The following is a DFT calculation (GGA-PBEsol) of crystalline YZrTe at its relaxed geometry.

Cell: 4.9033 4.9033 3.7025 Å, 90.00 90.00 120.00°
Closest atoms and distances in Å follow each position.
Element x y z (fractional)
Y 0.0000 0.0000 0.0000  6 Zr 3.38, 6 Te 3.38, 2 Y 3.70
Zr 0.3333 0.6667 0.5000  3 Te 2.83
Te 0.6667 0.3333 0.5000  3 Zr 2.83

Summary:
DFT total energy = -20.6 eV/cell
V = 25.70 A^3/atom
Magnetic moment = 0.00 μB/atom
Energy relative to the elements, uncorrected = -0.387 eV per atom


2.
The following is a DFT calculation (GGA-PBEsol) of crystalline Be4CoSi at its relaxed geometry.

Cell: 4.1397 4.1397 4.1397 Å, 60.00 60.00 60.00°
Closest atoms and distances in Å follow each position.
Element x y z (fractional)
Be 0.3761 0.3761 0.3761  6 Be 2.05-2.09
Be 0.3761 0.3761 0.8716  6 Be 2.05-2.09
Be 0.3761 0.8716 0.3761  6 Be 2.05-2.09
Be 0.8716 0.3761 0.3761  6 Be 2.05-2.09
Co 0.7500 0.7500 0.7500  12 Be 2.43, 4 Si 2.54
Si 0.0000 0.0000 0.0000  12 Be 2.43, 4 Co 2.54

Summary:
DFT total energy = -30.9 eV/cell
V = 8.36 A^3/atom
Magnetic moment = 0.00 μB/atom
Energy relative to the elements, uncorrected = -0.231 eV per atom


3.
The following is a DFT calculation (GGA-PBEsol) of crystalline LiSmCu2P2 at its relaxed geometry.

Cell: 3.9595 3.9595 6.5599 Å, 90.00 90.00 120.00°
Closest atoms and distances in Å follow each position.
Element x y z (fractional)
Li 0.0000 0.0000 0.0000  6 Cu 2.52, 6 P 2.74
Sm 0.0000 0.0000 0.5000  6 P 2.89, 6 Cu 3.18
Cu 0.3333 0.6667 0.1624  4 P 2.33-2.58, 3 Li 2.52
Cu 0.6667 0.3333 0.8376  4 P 2.33-2.58, 3 Li 2.52
P 0.3333 0.6667 0.7691  4 Cu 2.33-2.58
P 0.6667 0.3333 0.2309  4 Cu 2.33-2.58

Summary:
DFT total energy = -32.4 eV/cell
V = 14.84 A^3/atom
Magnetic moment = 0.00 μB/atom
Energy of formation from the pure elements = -0.8402 eV per atom


4.
The following is a DFT calculation (GGA-PBEsol) of crystalline Ba2CoTe at its relaxed geometry.

Cell: 4.4603 4.7745 12.1850 Å, 90.00 90.00 90.00°
Closest atoms and distances in Å follow each position.
Element x y z (fractional)
Ba 0.0000 0.0000 0.0000  3 Co 3.36-3.73, 4 Te 3.42
Ba 0.0000 0.5000 0.5000  3 Co 3.36-3.73, 4 Te 3.42
Ba 0.5000 0.0000 0.2825  3 Te 3.42-3.65, 4 Co 3.44
Ba 0.5000 0.5000 0.7825  3 Te 3.42-3.65, 4 Co 3.44
Co 0.0000 0.0000 0.6942  2 Te 2.62
Co 0.0000 0.5000 0.1942  2 Te 2.62
Te 0.5000 0.0000 0.5819  2 Co 2.62
Te 0.5000 0.5000 0.0819  2 Co 2.62

Summary:
DFT total energy = -34.2 eV/cell
V = 32.44 A^3/atom
Magnetic moment = 0.25 μB/atom
Energy relative to the elements, uncorrected = -0.387 eV per atom


5.
The following is a DFT calculation (GGA-PBEsol) of crystalline BeCdAs2 at its relaxed geometry.

Cell: 5.3385 7.2409 3.6670 Å, 90.00 90.00 90.00°
Closest atoms and distances in Å follow each position.
Element x y z (fractional)
Be 0.0000 0.0000 0.0000  2 Cd 2.67, 8 As 2.90
Be 0.5000 0.5000 0.0000  2 Cd 2.67, 8 As 2.90
Cd 0.0000 0.5000 0.0000  2 Be 2.67, 8 As 2.90
Cd 0.5000 0.0000 0.0000  2 Be 2.67, 8 As 2.90
As 0.2500 0.2500 0.5000  2 As 2.67, 4 Cd 2.90, 4 Be 2.90
As 0.2500 0.7500 0.5000  2 As 2.67, 4 Cd 2.90, 4 Be 2.90
As 0.7500 0.2500 0.5000  2 As 2.67, 4 Cd 2.90, 4 Be 2.90
As 0.7500 0.7500 0.5000  2 As 2.67, 4 Be 2.90, 4 Cd 2.90

Summary:
DFT total energy = -27.2 eV/cell
V = 17.72 A^3/atom
Magnetic moment = 0.00 μB/atom
Energy of formation from the pure elements = 0.4502 eV per atom


6.
The following is a DFT calculation (GGA-PBEsol) of crystalline LaP2Br at its relaxed geometry.

Cell: 5.3724 5.3724 11.0744 Å, 90.00 90.00 120.00°
Closest atoms and distances in Å follow each position.
Element x y z (fractional)
La 0.0000 0.0000 0.0000  1 P 2.82, 1 Br 3.09
La 0.3333 0.6667 0.6667  1 P 2.82, 1 Br 3.09
La 0.6667 0.3333 0.3333  1 P 2.82, 1 Br 3.09
P 0.0000 0.0000 0.5618  1 P 2.03
P 0.0000 0.0000 0.7455  1 P 2.03
P 0.3333 0.6667 0.2284  1 P 2.03
P 0.3333 0.6667 0.4121  1 P 2.03
P 0.6667 0.3333 0.0788  1 P 2.03
P 0.6667 0.3333 0.8951  1 P 2.03
Br 0.0000 0.0000 0.2787  4 La 3.09-3.16, 7 P 3.13-3.44
Br 0.3333 0.6667 0.9454  4 La 3.09-3.16, 7 P 3.13-3.44
Br 0.6667 0.3333 0.6121  4 La 3.09-3.16, 7 P 3.13-3.44

Summary:
DFT total energy = -66.9 eV/cell
V = 23.07 A^3/atom
Magnetic moment = 0.00 μB/atom
Energy relative to the elements, uncorrected = -0.877 eV per atom